A geometry-optimized BaPb2S3 structure, computed with GGA-PBE.

Calculated values
energy relative to the elements, uncorrected	-1.05	eV/atom
ρ	6.15	g/cm³
VASP energy	-4.666	eV per atom
calculated volume	29.2	Å³/atom
relative energy among the computed polymorphs	0	meV/atom
total magnetization	0.000	μB per formula unit

Unit cell a=4.343 b=6.166 c=7.547 alpha=114.11 beta=106.72 gamma=90.00
Element x y z (fractional)
S1 0.500 0.000 0.500
S2 0.176 0.676 0.851
S3 0.824 0.324 0.149
Pb1 0.167 0.167 0.834
Pb2 0.833 0.833 0.166
Ba1 0.500 0.500 0.500

A geometry-optimized Mg2ScPt3 structure, computed with GGA-PBE.

Calculated values
formation energy from the elements	-1020	meV/atom
ρ	11.32	g/cm³
VASP energy	-5.627	eV per atom
calculated volume	16.6	Å³/atom
total magnetization	0.000	μB per formula unit

Unit cell a=3.303 b=3.303 c=9.127 alpha=90.00 beta=90.00 gamma=90.00
Element x y z (fractional)
Pt1 0.000 0.000 0.000
Pt2 0.000 0.000 0.670
Pt3 0.000 0.000 0.330
Mg1 0.500 0.500 0.840
Mg2 0.500 0.500 0.160
Sc1 0.500 0.500 0.500

A geometry-optimized AlOsAu2 structure, computed with GGA-PBE.

Calculated values
formation energy from the elements	47	meV/atom
ρ	15.72	g/cm³
VASP energy	-5.335	eV per atom
calculated volume	16.1	Å³/atom
total magnetization	0.000	μB per formula unit

Unit cell a=2.992 b=2.992 c=7.213 alpha=90.00 beta=90.00 gamma=90.00
Element x y z (fractional)
Al1 0.500 0.500 0.731
Au1 0.000 0.000 0.975
Au2 0.500 0.500 0.263
Os1 0.000 0.000 0.532

A geometry-optimized Dy4MgAl2Ag structure, computed with GGA-PBE.

Calculated values
formation energy from the elements	-313	meV/atom
ρ	7.09	g/cm³
VASP energy	-4.106	eV per atom
calculated volume	24.5	Å³/atom
total magnetization	0.000	μB per formula unit

Unit cell a=5.169 b=5.169 c=8.976 alpha=73.26 beta=73.26 gamma=60.00
Element x y z (fractional)
Dy1 0.128 0.128 0.616
Dy2 0.622 0.622 0.135
Dy3 0.872 0.872 0.384
Dy4 0.378 0.378 0.865
Al1 0.254 0.254 0.238
Al2 0.746 0.746 0.762
Ag1 0.500 0.500 0.500
Mg1 0.000 0.000 0.000